Ni3PtRh3: relaxed, GGA-PBE.

V = 184.9 Å³ per cell
Uncorrected energy = -6.476 eV/atom
DFT formation energy = 15 meV/atom

abc: 7.0136 7.0136 5.9354
angles: 53.78 53.78 60.00
Each line ends with the local moment (μB).
Positions (direct):
Ni1 0.1857 0.4638 0.7433  0.71
Ni2 0.4638 0.6072 0.7433  0.71
Ni3 0.5362 0.3928 0.2567  0.71
Ni4 0.8143 0.5362 0.2567  0.71
Ni5 0.3928 0.8143 0.2567  0.71
Ni6 0.6072 0.1857 0.7433  0.71
Pt1 0.2563 0.2563 0.2311  0.25
Pt2 0.7437 0.7437 0.7689  0.25
Rh1 0.9579 0.1143 0.2508  0.46
Rh2 0.6770 0.9579 0.2508  0.46
Rh3 0.1143 0.6770 0.2508  0.46
Rh4 0.8857 0.3230 0.7492  0.46
Rh5 0.3230 0.0421 0.7492  0.46
Rh6 0.0421 0.8857 0.7492  0.46

ScNiRu3: relaxed, GGA-PBE.

V = 88.8 Å³ per cell
Uncorrected energy = -7.101 eV/atom
DFT formation energy = 887 meV/atom

abc: 4.4618 4.4618 4.4618
angles: 90.00 90.00 90.00
Each line ends with the local moment (μB).
Positions (direct):
Ru1 0.5000 0.0000 0.0000  0.61
Ru2 0.0000 0.5000 0.0000  0.99
Ru3 0.0000 0.0000 0.5000  1.33
Ni1 0.0000 0.0000 0.0000  0.88
Sc1 0.5000 0.5000 0.5000  -0.05

Tb2GdEr: relaxed, GGA-PBE.

V = 126.6 Å³ per cell
Uncorrected energy = -6.956 eV/atom
DFT formation energy = 21 meV/atom

abc: 3.5536 3.5536 11.7584
angles: 81.31 81.31 60.00
Each line ends with the local moment (μB).
Positions (direct):
Tb1 0.2509 0.2509 0.2472  -0.03
Tb2 0.7491 0.7491 0.7528  -0.03
Gd1 0.5000 0.5000 0.5000  7.16
Er1 0.0000 0.0000 0.0000  -0.04